one) A relaxed NdYRh crystal, computed with PBE.

a b c (Å): 5.8068 4.5411 6.6298
angles (deg): 90.00 106.55 90.00
Space group P2_1/m (No. 11)
One atom of each set of equivalent atoms:
Nd1 0.0719 0.2500 0.2878 [2 per cell]
Y1 0.4764 0.2500 0.7994 [2 per cell]
Rh1 0.3409 0.7500 0.5539 [2 per cell]

Calculated values
DOS at the Fermi energy: 6.3 states/eV/cell



two) A relaxed NdYRh crystal, computed with PBE.

a b c (Å): 3.5184 3.5184 12.8698
angles (deg): 90.00 90.00 90.00
Space group I4mm (No. 107)
One atom of each set of equivalent atoms:
Nd1 0.0000 0.0000 0.0000 [2 per cell]
Y1 0.0000 0.0000 0.2597 [2 per cell]
Rh1 0.0000 0.0000 0.6373 [2 per cell]

Calculated values
DOS at the Fermi energy: 7.5 states/eV/cell



Q: Which of them is the least stable? A: two).



one) A relaxed NdYRh crystal, computed with PBE.

a b c (Å): 4.0787 4.0787 6.3211
angles (deg): 90.00 90.00 120.00
Space group P3m1 (No. 156)
One atom of each set of equivalent atoms:
Nd1 0.0000 0.0000 0.0000 [1 per cell]
Y1 0.6667 0.3333 0.4778 [1 per cell]
Rh1 0.3333 0.6667 0.2464 [1 per cell]

Calculated values
DOS at the Fermi energy: 2.8 states/eV/cell



two) A relaxed NdYRh crystal, computed with PBE.

a b c (Å): 11.3711 4.2436 7.3687
angles (deg): 90.00 102.42 90.00
Space group C2/m (No. 12)
One atom of each set of equivalent atoms:
Nd1 0.1227 0.0000 0.3650 [4 per cell]
Y1 0.1280 0.5000 0.8864 [4 per cell]
Rh1 0.2415 0.0000 0.7484 [4 per cell]

Calculated values
DOS at the Fermi energy: 11.3 states/eV/cell



Q: Which of them is the least stable? A: one).



one) A relaxed Nd2YRh crystal, computed with PBE.

a b c (Å): 3.6221 3.6221 8.7705
angles (deg): 90.00 90.00 90.00
Space group P4/mmm (No. 123)
One atom of each set of equivalent atoms:
Nd1 0.0000 0.0000 0.1904 [2 per cell]
Y1 0.5000 0.5000 0.5000 [1 per cell]
Rh1 0.5000 0.5000 0.0000 [1 per cell]

Calculated values
DOS at the Fermi energy: 5.9 states/eV/cell



two) A relaxed Nd2YRh crystal, computed with PBE.

a b c (Å): 3.9184 3.9184 28.1279
angles (deg): 90.00 90.00 120.00
Space group R3m (No. 160, hexagonal axes)
One atom of each set of equivalent atoms:
Nd1 0.0000 0.0000 0.0000 [3 per cell]
Nd2 0.0000 0.0000 0.2121 [3 per cell]
Y1 0.0000 0.0000 0.7720 [3 per cell]
Rh1 0.0000 0.0000 0.6064 [3 per cell]

Calculated values
DOS at the Fermi energy: 14.4 states/eV/cell



Q: Which of them is the least stable? A: two).



one) A relaxed Nd2YRh crystal, computed with PBE.

a b c (Å): 7.2968 9.9751 6.3570
angles (deg): 90.00 90.00 90.00
Space group Pnma (No. 62)
One atom of each set of equivalent atoms:
Nd1 0.1776 0.0655 0.1694 [8 per cell]
Y1 0.0362 0.2500 0.6488 [4 per cell]
Rh1 0.1220 0.7500 0.9401 [4 per cell]

Calculated values
DOS at the Fermi energy: 18.0 states/eV/cell



two) A relaxed Nd2YRh crystal, computed with PBE.

a b c (Å): 3.7285 3.7285 32.0679
angles (deg): 90.00 90.00 120.00
Space group R-3m (No. 166, hexagonal axes)
One atom of each set of equivalent atoms:
Nd1 0.0000 0.0000 0.1098 [6 per cell]
Y1 0.0000 0.0000 0.0000 [3 per cell]
Rh1 0.0000 0.0000 0.5000 [3 per cell]

Calculated values
DOS at the Fermi energy: 17.1 states/eV/cell



Q: Which of them is the least stable? A: two).